# 1
# GGA-PBE FeReSb3, relaxed
# electronic total energy	-27.31	eV for the cell shown
# formation energy without anion corrections	1.19	eV per atom
# offset from the most stable computed form	6	kJ/mol of formula units
data_FeReSb3
_chemical_formula_sum 'Fe1 Re1 Sb3'
_cell_length_a 4.8763
_cell_length_b 4.8763
_cell_length_c 4.8763
_cell_angle_alpha 90.00
_cell_angle_beta 90.00
_cell_angle_gamma 90.00
_symmetry_space_group_name_H-M 'P m -3 m'
_symmetry_Int_Tables_number 221
_symmetry_space_group_name_Hall '-P 4 2 3'
loop_
_atom_site_label
_atom_site_type_symbol
_atom_site_fract_x
_atom_site_fract_y
_atom_site_fract_z
Fe1 Fe 0.0000 0.0000 0.0000
Re1 Re 0.5000 0.5000 0.5000
Sb1 Sb 0.0000 0.0000 0.5000

---

# 2
# GGA-PBE Ca2CdTe2, relaxed
# electronic total energy	-32.69	eV for the cell shown
# formation energy without anion corrections	-1.03	eV per atom
# offset from the most stable computed form	18	kJ/mol of formula units
data_Ca2CdTe2
_chemical_formula_sum 'Ca4 Cd2 Te4'
_cell_length_a 8.6849
_cell_length_b 8.6849
_cell_length_c 4.0375
_cell_angle_alpha 90.00
_cell_angle_beta 90.00
_cell_angle_gamma 90.00
_symmetry_space_group_name_H-M 'P 4/m b m'
_symmetry_Int_Tables_number 127
_symmetry_space_group_name_Hall '-P 4 2ab'
loop_
_atom_site_label
_atom_site_type_symbol
_atom_site_fract_x
_atom_site_fract_y
_atom_site_fract_z
Ca1 Ca 0.1528 0.3472 0.0000
Cd1 Cd 0.0000 0.0000 0.5000
Te1 Te 0.1512 0.6512 0.5000

---

# 3
# GGA-PBE LiNd2AlO5, relaxed
# electronic total energy	-267.56	eV for the cell shown
# formation energy without anion corrections	-2.99	eV per atom
data_LiNd2AlO5
_chemical_formula_sum 'Li4 Nd8 Al4 O20'
_cell_length_a 3.3824
_cell_length_b 13.6136
_cell_length_c 9.2211
_cell_angle_alpha 90.00
_cell_angle_beta 90.00
_cell_angle_gamma 90.00
_symmetry_space_group_name_H-M 'C m c 21'
_symmetry_Int_Tables_number 36
loop_
_symmetry_equiv_pos_as_xyz
'x,y,z'
'-x,-y,z+1/2'
'-x,y,z'
'x,-y,z+1/2'
'x+1/2,y+1/2,z'
'-x+1/2,-y+1/2,z+1/2'
'-x+1/2,y+1/2,z'
'x+1/2,-y+1/2,z+1/2'
loop_
_atom_site_label
_atom_site_type_symbol
_atom_site_fract_x
_atom_site_fract_y
_atom_site_fract_z
Li1 Li 0.0000 0.2232 0.0000
Nd1 Nd 0.0000 0.1195 0.3018
Nd2 Nd 0.0000 0.1288 0.6814
Al1 Al 0.0000 0.4162 0.4753
O1 O 0.0000 0.0450 0.0286
O2 O 0.0000 0.3046 0.3542
O3 O 0.0000 0.3164 0.6390
O4 O 0.0000 0.3586 0.0007
O5 O 0.0000 0.4866 0.2923

---

# 4
# GGA-PBE LiLa2Au2, relaxed
# electronic total energy	-41.39	eV for the cell shown
# formation enthalpy at 0 K	-0.475	eV per atom
# offset from the most stable computed form	90	kJ/mol of formula units
data_LiLa2Au2
_chemical_formula_sum 'Li2 La4 Au4'
_cell_length_a 8.7145
_cell_length_b 8.7145
_cell_length_c 3.6631
_cell_angle_alpha 90.00
_cell_angle_beta 90.00
_cell_angle_gamma 90.00
_symmetry_space_group_name_H-M 'P 4/m b m'
_symmetry_Int_Tables_number 127
_symmetry_space_group_name_Hall '-P 4 2ab'
loop_
_atom_site_label
_atom_site_type_symbol
_atom_site_fract_x
_atom_site_fract_y
_atom_site_fract_z
Li1 Li 0.0000 0.0000 0.0000
La1 La 0.1579 0.3421 0.0000
Au1 Au 0.1362 0.6362 0.5000

---

# 5
# GGA-PBE Mg2In2Ni, relaxed
# electronic total energy	-28.41	eV for the cell shown
# formation enthalpy at 0 K	0.049	eV per atom
# offset from the most stable computed form	79	kJ/mol of formula units
data_Mg2In2Ni
_chemical_formula_sum 'Mg4 In4 Ni2'
_cell_length_a 6.8673
_cell_length_b 6.8673
_cell_length_c 4.5212
_cell_angle_alpha 90.00
_cell_angle_beta 90.00
_cell_angle_gamma 90.00
_symmetry_space_group_name_H-M 'P 4/m b m'
_symmetry_Int_Tables_number 127
_symmetry_space_group_name_Hall '-P 4 2ab'
loop_
_atom_site_label
_atom_site_type_symbol
_atom_site_fract_x
_atom_site_fract_y
_atom_site_fract_z
Mg1 Mg 0.1635 0.3365 0.0000
In1 In 0.1522 0.6522 0.5000
Ni1 Ni 0.0000 0.0000 0.5000

---

# 6
# GGA-PBE Bi3HPt, relaxed
# electronic total energy	-17.09	eV for the cell shown
# offset from the most stable computed form	186	kJ/mol of formula units
data_Bi3HPt
_chemical_formula_sum 'Bi3 H1 Pt1'
_cell_length_a 5.4826
_cell_length_b 5.4826
_cell_length_c 5.4826
_cell_angle_alpha 90.00
_cell_angle_beta 90.00
_cell_angle_gamma 90.00
_symmetry_space_group_name_H-M 'P m -3 m'
_symmetry_Int_Tables_number 221
_symmetry_space_group_name_Hall '-P 4 2 3'
loop_
_atom_site_label
_atom_site_type_symbol
_atom_site_fract_x
_atom_site_fract_y
_atom_site_fract_z
Bi1 Bi 0.0000 0.0000 0.5000
H1 H 0.5000 0.5000 0.5000
Pt1 Pt 0.0000 0.0000 0.0000